The following is a GGA-PBE calculation of crystalline TaSiHg2 at its relaxed geometry, from the Alexandria database.

- spin magnetization (μB per formula unit) = 0.00
- volume (Å³/atom) = 20.0
- ρ (Mg/m³) = 12.7
- ΔE_f (raw) (eV/f.u.) = 2.28
- SG = P4/mmm

Geometry as POSCAR:
```
TaSiHg2
1.0
2.9243 0.0000 0.0000
0.0000 2.9243 0.0000
0.0000 0.0000 9.3400
Ta Si Hg
1 1 2
direct
0.0000 0.0000 0.0000
0.0000 0.0000 0.5000
0.5000 0.5000 0.2389
0.5000 0.5000 0.7611
```